A geometry-optimized La4ZnCuRh2O12 structure, computed with PBEsol.

Properties
Density of states at the Fermi level, states/eV/cell: 12.05
Raw formation energy, eV/atom: -2.21
Crystal system: triclinic
Space-group type: P-1, No. 2

Cell lengths 5.5033, 5.6592, 7.8106 Å; angles 89.90, 89.99, 89.99 degrees
Last column: nearest neighbours and their distance in Å.
Positions (direct):
La 0.0117 0.4449 0.2505  6 O 2.37-2.63
La 0.4870 0.9447 0.2496  6 O 2.38-2.62
La 0.5130 0.0553 0.7504  6 O 2.38-2.62
La 0.9883 0.5551 0.7495  6 O 2.37-2.63
Zn 0.5000 0.5000 0.0000  6 O 2.04-2.09
Cu 0.0000 0.0000 0.5000  6 O 2.03-2.08
Rh 0.0000 0.0000 0.0000  6 O 2.00
Rh 0.5000 0.5000 0.5000  6 O 1.99-2.01
O 0.0880 0.9802 0.7520  1 Rh 2.00, 1 Cu 2.03
O 0.1953 0.7095 0.0469  1 Rh 2.00, 1 Zn 2.09
O 0.2064 0.7015 0.4532  1 Rh 2.01, 1 Cu 2.07
O 0.2932 0.1991 0.0455  1 Rh 2.00, 1 Zn 2.08
O 0.3021 0.2106 0.4519  1 Rh 2.00, 1 Cu 2.08
O 0.4122 0.4793 0.7472  1 Rh 1.99, 1 Zn 2.04
O 0.5878 0.5207 0.2528  1 Rh 1.99, 1 Zn 2.04
O 0.6979 0.7894 0.5481  1 Rh 2.00, 1 Cu 2.08
O 0.7068 0.8009 0.9545  1 Rh 2.00, 1 Zn 2.08
O 0.7936 0.2985 0.5468  1 Rh 2.01, 1 Cu 2.07
O 0.8047 0.2905 0.9531  1 Rh 2.00, 1 Zn 2.09
O 0.9120 0.0198 0.2480  1 Rh 2.00, 1 Cu 2.03


A geometry-optimized Na3Al2P3O12 structure, computed with PBEsol.

Properties
Density of states at the Fermi level, states/eV/cell: 0.00
Raw formation energy, eV/atom: -2.49
Crystal system: cubic
Space-group type: Ia-3d, No. 230

Cell lengths 10.0548, 10.0548, 10.0548 Å; angles 109.47, 109.47, 109.47 degrees
Last column: nearest neighbours and their distance in Å.
Positions (direct):
Na 0.1250 0.2500 0.3750  8 O 2.31-2.47
Na 0.1250 0.3750 0.7500  8 O 2.31-2.47
Na 0.2500 0.3750 0.1250  8 O 2.31-2.47
Na 0.2500 0.8750 0.6250  8 O 2.31-2.47
Na 0.3750 0.1250 0.2500  8 O 2.31-2.47
Na 0.3750 0.7500 0.1250  8 O 2.31-2.47
Na 0.6250 0.2500 0.8750  8 O 2.31-2.47
Na 0.6250 0.8750 0.7500  8 O 2.31-2.47
Na 0.7500 0.1250 0.3750  8 O 2.31-2.47
Na 0.7500 0.6250 0.8750  8 O 2.31-2.47
Na 0.8750 0.6250 0.2500  8 O 2.31-2.47
Na 0.8750 0.7500 0.6250  8 O 2.31-2.47
Al 0.0000 0.0000 0.0000  6 O 1.92
Al 0.0000 0.0000 0.5000  6 O 1.92
Al 0.0000 0.5000 0.0000  6 O 1.92
Al 0.0000 0.5000 0.5000  6 O 1.92
Al 0.5000 0.0000 0.0000  6 O 1.92
Al 0.5000 0.0000 0.5000  6 O 1.92
Al 0.5000 0.5000 0.0000  6 O 1.92
Al 0.5000 0.5000 0.5000  6 O 1.92
P 0.1250 0.7500 0.8750  4 O 1.55
P 0.1250 0.8750 0.2500  4 O 1.55
P 0.2500 0.1250 0.8750  4 O 1.55
P 0.2500 0.6250 0.3750  4 O 1.55
P 0.3750 0.2500 0.6250  4 O 1.55
P 0.3750 0.6250 0.7500  4 O 1.55
P 0.6250 0.3750 0.2500  4 O 1.55
P 0.6250 0.7500 0.3750  4 O 1.55
P 0.7500 0.3750 0.6250  4 O 1.55
P 0.7500 0.8750 0.1250  4 O 1.55
P 0.8750 0.1250 0.7500  4 O 1.55
P 0.8750 0.2500 0.1250  4 O 1.55
O 0.0002 0.1965 0.1104  1 P 1.55
O 0.0002 0.3037 0.8899  1 P 1.55
O 0.9998 0.6963 0.1101  1 P 1.55
O 0.9998 0.8035 0.8896  1 P 1.55
O 0.0862 0.6965 0.6963  1 P 1.55
O 0.0862 0.8896 0.3899  1 P 1.55
O 0.1104 0.0002 0.1965  1 P 1.55
O 0.1101 0.9998 0.6963  1 P 1.55
O 0.1101 0.6104 0.4138  1 P 1.55
O 0.1104 0.6101 0.9138  1 P 1.55
O 0.1963 0.1965 0.5862  1 P 1.55
O 0.1963 0.4998 0.6101  1 P 1.55
O 0.1965 0.1104 0.0002  1 P 1.55
O 0.1965 0.5862 0.1963  1 P 1.55
O 0.3035 0.3037 0.9138  1 P 1.55
O 0.3035 0.4998 0.3896  1 P 1.55
O 0.3037 0.8899 0.0002  1 P 1.55
O 0.3037 0.9138 0.3035  1 P 1.55
O 0.3899 0.0862 0.8896  1 P 1.55
O 0.3896 0.3035 0.4998  1 P 1.55
O 0.3896 0.5862 0.8899  1 P 1.55
O 0.3899 0.8037 0.5002  1 P 1.55
O 0.4138 0.1101 0.6104  1 P 1.55
O 0.4138 0.8037 0.8035  1 P 1.55
O 0.4998 0.3896 0.3035  1 P 1.55
O 0.5002 0.3899 0.8037  1 P 1.55
O 0.4998 0.6101 0.1963  1 P 1.55
O 0.5002 0.6104 0.6965  1 P 1.55
O 0.5862 0.1963 0.1965  1 P 1.55
O 0.5862 0.8899 0.3896  1 P 1.55
O 0.6101 0.1963 0.4998  1 P 1.55
O 0.6104 0.4138 0.1101  1 P 1.55
O 0.6104 0.6965 0.5002  1 P 1.55
O 0.6101 0.9138 0.1104  1 P 1.55
O 0.6963 0.0862 0.6965  1 P 1.55
O 0.6963 0.1101 0.9998  1 P 1.55
O 0.6965 0.5002 0.6104  1 P 1.55
O 0.6965 0.6963 0.0862  1 P 1.55
O 0.8035 0.4138 0.8037  1 P 1.55
O 0.8035 0.8896 0.9998  1 P 1.55
O 0.8037 0.5002 0.3899  1 P 1.55
O 0.8037 0.8035 0.4138  1 P 1.55
O 0.8899 0.0002 0.3037  1 P 1.55
O 0.8896 0.9998 0.8035  1 P 1.55
O 0.8896 0.3899 0.0862  1 P 1.55
O 0.8899 0.3896 0.5862  1 P 1.55
O 0.9138 0.1104 0.6101  1 P 1.55
O 0.9138 0.3035 0.3037  1 P 1.55


A geometry-optimized LaYBr2 structure, computed with PBEsol.

Properties
Density of states at the Fermi level, states/eV/cell: 4.37
Raw formation energy, eV/atom: -1.18
Crystal system: monoclinic
Space-group type: C2/m, No. 12

Cell lengths 9.2840, 3.6127, 6.2613 Å; angles 90.00, 102.79, 90.00 degrees
Last column: nearest neighbours and their distance in Å.
Positions (direct):
La 0.0000 0.0000 0.0000  6 Br 3.11-3.12
La 0.5000 0.5000 0.0000  6 Br 3.11-3.12
Y 0.0000 0.5000 0.5000  6 Br 3.03-3.05
Y 0.5000 0.0000 0.5000  6 Br 3.03-3.05
Br 0.2491 0.0000 0.7381  3 Y 3.03-3.05, 3 La 3.11-3.12
Br 0.2509 0.5000 0.2619  3 Y 3.03-3.05, 3 La 3.11-3.12
Br 0.7491 0.5000 0.7381  3 Y 3.03-3.05, 3 La 3.11-3.12
Br 0.7509 0.0000 0.2619  3 Y 3.03-3.05, 3 La 3.11-3.12